[1]
Compound: Ca3PmPa3N8
Source: Alexandria
Functional: PBE-GGA
Structure: optimized geometry

Summary:
Its space group is R-3m. The value obtained for the electronic total energy is -8.402 eV/atom. Its formation energy (no corrections) is -130 kJ per mole of atoms.

Lattice parameters (Å, degrees): 7.0338 7.0338 7.0338 60.98 60.98 60.98
Last column: nearest neighbours and their distance in Å.
Sites, in units of the cell vectors:
Ca  0.0000  0.5000  0.5000  6 N 2.58-2.73
Ca  0.5000  0.0000  0.5000  6 N 2.58-2.73
Ca  0.5000  0.5000  0.0000  6 N 2.58-2.73
Pm  0.5000  0.5000  0.5000  6 N 2.42
Pa  0.0000  0.0000  0.5000  6 N 2.30-2.44
Pa  0.0000  0.5000  0.0000  6 N 2.30-2.44
Pa  0.5000  0.0000  0.0000  6 N 2.30-2.44
N  0.2168  0.7387  0.7387  2 Pa 2.30, 1 Pm 2.42
N  0.2427  0.2427  0.2427  3 Pa 2.44, 3 Ca 2.58
N  0.2613  0.2613  0.7832  2 Pa 2.30, 1 Pm 2.42
N  0.2613  0.7832  0.2613  2 Pa 2.30, 1 Pm 2.42
N  0.7387  0.2168  0.7387  2 Pa 2.30, 1 Pm 2.42
N  0.7387  0.7387  0.2168  2 Pa 2.30, 1 Pm 2.42
N  0.7573  0.7573  0.7573  3 Pa 2.44, 3 Ca 2.58
N  0.7832  0.2613  0.2613  2 Pa 2.30, 1 Pm 2.42

[2]
Compound: Ac6Hg3Ir
Source: Alexandria
Functional: PBE-GGA
Structure: optimized geometry

Summary:
Its calculated formation energy is -0.27 eV per atom. Its space group is Cmc2_1. The value obtained for the electronic total energy is -3.716 eV/atom.

Lattice parameters (Å, degrees): 9.8858 9.8858 8.1884 90.00 90.00 103.54
Last column: nearest neighbours and their distance in Å.
Sites, in units of the cell vectors:
Ac  0.0011  0.9989  0.5000  2 Ir 2.96-3.08
Ac  0.0858  0.5919  0.4256  1 Ir 2.89
Ac  0.2530  0.7470  0.9765  1 Ir 2.87
Ac  0.3181  0.3485  0.9464  4 Hg 3.28-3.49
Ac  0.3485  0.3181  0.4464  4 Hg 3.28-3.49
Ac  0.4081  0.9142  0.4256  1 Ir 2.89
Ac  0.5919  0.0858  0.9256  1 Ir 2.89
Ac  0.6515  0.6819  0.9464  4 Hg 3.28-3.49
Ac  0.6819  0.6515  0.4464  4 Hg 3.28-3.49
Ac  0.7470  0.2530  0.4765  1 Ir 2.87
Ac  0.9142  0.4081  0.9256  1 Ir 2.89
Ac  0.9989  0.0011  0.0000  2 Ir 2.96-3.08
Hg  0.0566  0.2830  0.2427  7 Ac 3.28-3.56
Hg  0.2830  0.0566  0.7427  7 Ac 3.28-3.56
Hg  0.3916  0.6084  0.6611  7 Ac 3.31-3.56
Hg  0.6084  0.3916  0.1611  7 Ac 3.31-3.56
Hg  0.7170  0.9434  0.2427  7 Ac 3.28-3.56
Hg  0.9434  0.7170  0.7427  7 Ac 3.28-3.56
Ir  0.1431  0.8569  0.2586  5 Ac 2.87-3.08
Ir  0.8569  0.1431  0.7586  5 Ac 2.87-3.08

[3]
Compound: NpZn4Mo
Source: Alexandria
Functional: PBE-GGA
Structure: optimized geometry

Summary:
Its calculated formation energy is 0.16 eV per atom. Its space group is F-43m. The value obtained for the electronic total energy is -4.653 eV/atom.

Lattice parameters (Å, degrees): 5.1960 5.1960 5.1960 60.00 60.00 60.00
Last column: nearest neighbours and their distance in Å.
Sites, in units of the cell vectors:
Np  0.0000  0.0000  0.0000  12 Zn 3.05, 4 Mo 3.18
Zn  0.3761  0.3761  0.3761  6 Zn 2.58-2.62
Zn  0.3761  0.3761  0.8718  6 Zn 2.58-2.62
Zn  0.3761  0.8718  0.3761  6 Zn 2.58-2.62
Zn  0.8718  0.3761  0.3761  6 Zn 2.58-2.62
Mo  0.7500  0.7500  0.7500  12 Zn 3.04, 4 Np 3.18

[4]
Compound: In2Ir2PdS6
Source: Alexandria
Functional: PBE-GGA
Structure: optimized geometry

Summary:
Its space group is C2/m. The value obtained for the electronic total energy is -5.136 eV/atom. Its formation energy (no corrections) is -29 kJ per mole of atoms.

Lattice parameters (Å, degrees): 6.3801 6.3801 6.7318 99.06 99.06 120.53
Last column: nearest neighbours and their distance in Å.
Sites, in units of the cell vectors:
In  0.1670  0.8330  0.0000  6 S 2.79-2.95
In  0.8330  0.1670  0.0000  6 S 2.79-2.95
Ir  0.3325  0.6675  0.5000  6 S 2.38-2.43
Ir  0.6675  0.3325  0.5000  6 S 2.38-2.43
Pd  0.0000  0.0000  0.5000  6 S 2.39-2.57
S  0.0590  0.4152  0.6947  2 Ir 2.38-2.43, 1 Pd 2.57
S  0.2720  0.2720  0.3209  1 Pd 2.39, 2 Ir 2.42
S  0.4152  0.0590  0.6947  2 Ir 2.38-2.43, 1 Pd 2.57
S  0.5848  0.9410  0.3053  2 Ir 2.38-2.43, 1 Pd 2.57
S  0.7280  0.7280  0.6792  1 Pd 2.39, 2 Ir 2.42
S  0.9410  0.5848  0.3053  2 Ir 2.38-2.43, 1 Pd 2.57